(1)
## AlBPbO4 (PBEsol)

Data for crystalline AlBPbO4 at its relaxed geometry.

Properties
* DOS at the Fermi energy: 0.00 states/eV per cell
* VASP energy: -7.503 eV/atom
* formation energy (no corrections): -2345 meV/atom

Lattice parameters (Å, degrees): 6.9435 5.7592 8.0750 90.00 90.00 90.00
Closest atoms and distances in Å follow each position.
Fractional positions:
Al1 0.0000 0.0000 0.0000  6 O 1.84-2.00
Al2 0.0000 0.5000 0.0000  6 O 1.84-2.00
Al3 0.5000 0.0000 0.5000  6 O 1.84-2.00
Al4 0.5000 0.5000 0.5000  6 O 1.84-2.00
B1 0.2279 0.2500 0.2582  3 O 1.38-1.39
B2 0.2721 0.7500 0.7582  3 O 1.38-1.39
B3 0.7279 0.2500 0.2418  3 O 1.38-1.39
B4 0.7721 0.7500 0.7418  3 O 1.38-1.39
Pb1 0.0613 0.7500 0.3620  4 O 2.32-2.35
Pb2 0.4387 0.2500 0.8620  4 O 2.32-2.35
Pb3 0.5613 0.7500 0.1380  4 O 2.32-2.35
Pb4 0.9387 0.2500 0.6380  4 O 2.32-2.35
O1 0.1015 0.2500 0.8894  2 Al 1.84
O2 0.1663 0.7500 0.9032  1 B 1.38
O3 0.1725 0.0430 0.1848  1 B 1.39
O4 0.1725 0.4570 0.1848  1 B 1.39
O5 0.3275 0.5430 0.6848  1 B 1.39
O6 0.3275 0.9570 0.6848  1 B 1.39
O7 0.3337 0.2500 0.4032  1 B 1.38
O8 0.3985 0.7500 0.3894  2 Al 1.84
O9 0.6015 0.2500 0.6106  2 Al 1.84
O10 0.6663 0.7500 0.5968  1 B 1.38
O11 0.6725 0.0430 0.3152  1 B 1.39
O12 0.6725 0.4570 0.3152  1 B 1.39
O13 0.8275 0.5430 0.8152  1 B 1.39
O14 0.8275 0.9570 0.8152  1 B 1.39
O15 0.8337 0.2500 0.0968  1 B 1.38
O16 0.8985 0.7500 0.1106  2 Al 1.84

***

(2)
## ZrSi2SI (PBEsol)

Data for crystalline ZrSi2SI at its relaxed geometry.

Properties
* DOS at the Fermi energy: 3.51 states/eV per cell
* VASP energy: -4.670 eV/atom
* formation energy (no corrections): 677 meV/atom

Lattice parameters (Å, degrees): 4.4512 4.4512 5.2871 90.00 90.00 90.00
Closest atoms and distances in Å follow each position.
Fractional positions:
Zr1 0.0000 0.0000 0.0000  4 I 3.15, 8 Si 3.46
Si1 0.0000 0.5000 0.5000  2 S 2.23
Si2 0.5000 0.0000 0.5000  2 S 2.23
S1 0.5000 0.5000 0.5000  4 Si 2.23
I1 0.5000 0.5000 0.0000  2 S 2.64

***

(3)
## Cr3FeP6O24 (PBEsol)

Data for crystalline Cr3FeP6O24 at its relaxed geometry.

Properties
* DOS at the Fermi energy: 17.56 states/eV per cell
* VASP energy: -7.796 eV/atom
* formation energy (no corrections): -1901 meV/atom

Lattice parameters (Å, degrees): 8.5512 8.5512 8.5512 56.85 56.85 56.85
Closest atoms and distances in Å follow each position.
Fractional positions:
Cr1 0.0000 0.0000 0.0000  6 O 1.86-1.88
Cr2 0.2141 0.2141 0.2141  6 O 1.84-1.86
Cr3 0.4931 0.4931 0.4931  6 O 1.83-1.85
Fe1 0.7074 0.7074 0.7074  6 O 1.85-1.87
P1 0.1014 0.3871 0.8209  4 O 1.53-1.54
P2 0.3276 0.8857 0.6023  4 O 1.53-1.55
P3 0.3871 0.8209 0.1014  4 O 1.53-1.54
P4 0.6023 0.3276 0.8857  4 O 1.53-1.55
P5 0.8209 0.1014 0.3871  4 O 1.53-1.54
P6 0.8857 0.6023 0.3276  4 O 1.53-1.55
O1 0.0912 0.4527 0.2522  1 P 1.53
O2 0.1284 0.1849 0.8389  1 P 1.54
O3 0.1549 0.3569 0.9823  1 P 1.53
O4 0.1724 0.8707 0.8134  1 P 1.53
O5 0.1849 0.8389 0.1284  1 P 1.54
O6 0.2505 0.4642 0.6148  1 P 1.54
O7 0.2522 0.0912 0.4527  1 P 1.53
O8 0.3542 0.7252 0.5504  1 P 1.53
O9 0.3569 0.9823 0.1549  1 P 1.53
O10 0.4527 0.2522 0.0912  1 P 1.53
O11 0.4642 0.6148 0.2505  1 P 1.54
O12 0.5309 0.8720 0.5714  1 P 1.55
O13 0.5405 0.8438 0.8875  1 P 1.54
O14 0.5504 0.3542 0.7252  1 P 1.53
O15 0.5714 0.5309 0.8720  1 P 1.55
O16 0.6148 0.2505 0.4642  1 P 1.54
O17 0.7252 0.5504 0.3542  1 P 1.53
O18 0.8134 0.1724 0.8707  1 P 1.53
O19 0.8389 0.1284 0.1849  1 P 1.54
O20 0.8438 0.8875 0.5405  1 P 1.54
O21 0.8707 0.8134 0.1724  1 P 1.53
O22 0.8720 0.5714 0.5309  1 P 1.55
O23 0.8875 0.5405 0.8438  1 P 1.54
O24 0.9823 0.1549 0.3569  1 P 1.53

***

(4)
## Tl2HgSb (PBEsol)

Data for crystalline Tl2HgSb at its relaxed geometry.

Properties
* DOS at the Fermi energy: 1.58 states/eV per cell
* VASP energy: -2.563 eV/atom
* formation energy (no corrections): 33 meV/atom

Lattice parameters (Å, degrees): 3.2782 3.2782 10.2919 90.00 90.00 104.65
Closest atoms and distances in Å follow each position.
Fractional positions:
Tl1 0.0000 0.0000 0.0000  2 Hg 3.17, 6 Tl 3.28-3.43
Tl2 0.5000 0.5000 0.2709  6 Tl 3.28-3.43, 2 Sb 3.29
Hg1 0.5000 0.5000 0.7612  2 Sb 3.16, 2 Tl 3.17, 4 Hg 3.28
Sb1 0.0000 0.0000 0.5242  2 Hg 3.16, 4 Sb 3.28, 2 Tl 3.29

***

(5)
## Ba2Cd (PBEsol)

Data for crystalline Ba2Cd at its relaxed geometry.

Properties
* DOS at the Fermi energy: 7.24 states/eV per cell
* energy of formation from the pure elements: -163.0 meV per atom
* VASP energy: -1.995 eV/atom

Lattice parameters (Å, degrees): 9.9956 9.9956 6.1751 90.00 90.00 155.54
Closest atoms and distances in Å follow each position.
Fractional positions:
Ba1 0.0736 0.9264 0.7500  6 Cd 3.60-3.74
Ba2 0.2164 0.7836 0.2500  2 Cd 3.47
Ba3 0.7836 0.2164 0.7500  2 Cd 3.47
Ba4 0.9264 0.0736 0.2500  6 Cd 3.60-3.74
Cd1 0.4246 0.5754 0.7500  8 Ba 3.47-3.74
Cd2 0.5754 0.4246 0.2500  8 Ba 3.47-3.74

***

(6)
## PrClO (PBEsol)

Data for crystalline PrClO at its relaxed geometry.

Properties
* DOS at the Fermi energy: 0.00 states/eV per cell
* VASP energy: -7.213 eV/atom
* formation energy (no corrections): -3066 meV/atom

Lattice parameters (Å, degrees): 4.0448 4.0448 6.7480 90.00 90.00 90.00
Closest atoms and distances in Å follow each position.
Fractional positions:
Pr1 0.2500 0.2500 0.1767  4 O 2.35
Pr2 0.7500 0.7500 0.8233  4 O 2.35
Cl1 0.2500 0.2500 0.6273  5 Pr 3.04-3.15, 4 O 3.23, 4 Cl 3.34
Cl2 0.7500 0.7500 0.3727  5 Pr 3.04-3.15, 4 O 3.23, 4 Cl 3.34
O1 0.2500 0.7500 0.0000  4 Pr 2.35
O2 0.7500 0.2500 0.0000  4 Pr 2.35

***

(7)
## Mg2TaAu (PBEsol)

Data for crystalline Mg2TaAu at its relaxed geometry.

Properties
* DOS at the Fermi energy: 2.74 states/eV per cell
* energy of formation from the pure elements: 94.3 meV per atom
* VASP energy: -4.883 eV/atom

Lattice parameters (Å, degrees): 5.3802 5.3802 2.7397 90.00 90.00 114.23
Closest atoms and distances in Å follow each position.
Fractional positions:
Mg1 0.0000 0.5000 0.0000  4 Mg 2.74-2.92, 4 Ta 3.02, 4 Au 3.02
Mg2 0.5000 0.0000 0.0000  4 Mg 2.74-2.92, 4 Ta 3.02, 4 Au 3.02
Ta1 0.0000 0.0000 0.5000  2 Ta 2.74, 2 Au 2.92, 8 Mg 3.02
Au1 0.5000 0.5000 0.5000  2 Au 2.74, 2 Ta 2.92, 8 Mg 3.02

***

(8)
## Hf3CrBi (PBEsol)

Data for crystalline Hf3CrBi at its relaxed geometry.

Properties
* DOS at the Fermi energy: 3.95 states/eV per cell
* energy of formation from the pure elements: 1713.1 meV per atom
* VASP energy: -7.494 eV/atom

Lattice parameters (Å, degrees): 5.2621 5.2621 5.2621 90.00 90.00 90.00
Closest atoms and distances in Å follow each position.
Fractional positions:
Hf1 0.0000 0.0000 0.5000  2 Bi 2.63
Hf2 0.0000 0.5000 0.0000  2 Bi 2.63
Hf3 0.5000 0.0000 0.0000  2 Bi 2.63
Cr1 0.5000 0.5000 0.5000  12 Hf 3.72
Bi1 0.0000 0.0000 0.0000  6 Hf 2.63

***

(9)
## Te2MoW2Se2S2 (PBEsol)

Data for crystalline Te2MoW2Se2S2 at its relaxed geometry.

Properties
* DOS at the Fermi energy: 0.49 states/eV per cell
* VASP energy: -7.522 eV/atom
* formation energy (no corrections): -533 meV/atom

Lattice parameters (Å, degrees): 3.2913 3.2913 20.7640 90.00 90.00 120.00
Closest atoms and distances in Å follow each position.
Fractional positions:
Te1 0.0000 0.0000 0.0000  3 Mo 2.68
Te2 0.0000 0.0000 0.1819  3 Mo 2.68
Mo1 0.3333 0.6667 0.0910  6 Te 2.68
W1 0.0000 0.0000 0.7703  6 S 2.43
W2 0.3333 0.6667 0.4640  6 Se 2.53
Se1 0.0000 0.0000 0.3837  3 W 2.53
Se2 0.0000 0.0000 0.5445  3 W 2.53
S1 0.3333 0.6667 0.6972  3 W 2.43
S2 0.3333 0.6667 0.8434  3 W 2.43

***

(10)
## Sc2InFeC (PBEsol)

Data for crystalline Sc2InFeC at its relaxed geometry.

Properties
* DOS at the Fermi energy: 3.10 states/eV per cell
* energy of formation from the pure elements: -474.5 meV per atom
* VASP energy: -7.435 eV/atom

Lattice parameters (Å, degrees): 4.5762 4.5762 3.6916 90.00 90.00 90.00
Closest atoms and distances in Å follow each position.
Fractional positions:
Sc1 0.0000 0.5000 0.0000  2 C 2.29
Sc2 0.5000 0.0000 0.0000  2 C 2.29
In1 0.0000 0.0000 0.5000  8 Sc 2.94, 4 Fe 3.24
Fe1 0.5000 0.5000 0.5000  2 C 1.85
C1 0.5000 0.5000 0.0000  2 Fe 1.85

***

(11)
## Mg4ZnCu (PBEsol)

Data for crystalline Mg4ZnCu at its relaxed geometry.

Properties
* DOS at the Fermi energy: 1.87 states/eV per cell
* energy of formation from the pure elements: 365.6 meV per atom
* VASP energy: -1.765 eV/atom

Lattice parameters (Å, degrees): 5.5141 5.5141 5.5141 60.00 60.00 60.00
Closest atoms and distances in Å follow each position.
Fractional positions:
Mg1 0.1252 0.1252 0.1252  6 Mg 2.75-2.76
Mg2 0.1252 0.1252 0.6244  6 Mg 2.75-2.76
Mg3 0.1252 0.6244 0.1252  6 Mg 2.75-2.76
Mg4 0.6244 0.1252 0.1252  6 Mg 2.75-2.76
Zn1 0.7500 0.7500 0.7500  12 Mg 3.23, 4 Cu 3.38
Cu1 0.5000 0.5000 0.5000  12 Mg 3.23, 4 Zn 3.38

***

(12)
## TeOs2Pb (PBEsol)

Data for crystalline TeOs2Pb at its relaxed geometry.

Properties
* DOS at the Fermi energy: 2.70 states/eV per cell
* VASP energy: -6.992 eV/atom
* formation energy (no corrections): 997 meV/atom

Lattice parameters (Å, degrees): 4.6815 4.6815 3.2772 90.00 90.00 90.00
Closest atoms and distances in Å follow each position.
Fractional positions:
Te1 0.0000 0.0000 0.0000  8 Os 2.86
Os1 0.0000 0.5000 0.5000  4 Pb 2.86, 4 Te 2.86
Os2 0.5000 0.0000 0.5000  4 Pb 2.86, 4 Te 2.86
Pb1 0.5000 0.5000 0.0000  8 Os 2.86